(1)
Here is a geometry-optimized PrNd4Tm5 structure from the Alexandria database. Energies are from GGA-PBE.

Unit cell a=3.6111 b=3.6111 c=24.9987 alpha=90.00 beta=90.00 gamma=90.00
Last column: nearest neighbours and their distance in Å.
Positions (direct):
1 Pr 0.0000 0.0000 0.0000  8 Tm 3.59, 4 Pr 3.61
2 Nd 0.0000 0.0000 0.2007  8 Tm 3.57, 4 Nd 3.61
3 Nd 0.0000 0.0000 0.4004  8 Tm 3.57, 4 Nd 3.61
4 Nd 0.0000 0.0000 0.5996  8 Tm 3.57, 4 Nd 3.61
5 Nd 0.0000 0.0000 0.7993  8 Tm 3.57, 4 Nd 3.61
6 Tm 0.5000 0.5000 0.1009  4 Nd 3.57, 4 Pr 3.59, 4 Tm 3.61
7 Tm 0.5000 0.5000 0.3006  8 Nd 3.57, 4 Tm 3.61
8 Tm 0.5000 0.5000 0.5000  8 Nd 3.57, 4 Tm 3.61
9 Tm 0.5000 0.5000 0.6994  8 Nd 3.57, 4 Tm 3.61
10 Tm 0.5000 0.5000 0.8991  4 Nd 3.57, 4 Pr 3.59, 4 Tm 3.61

Calculated values
Fermi-level density of states = 13.850 states/eV/cell
distance to the lowest polymorph of the same formula = 0.000 eV/atom
energy of formation from the pure elements = 0.0199 eV/atom
volume = 326 Å³/cell
symmetry = P4/mmm (123)
total magnetic moment = 0.000 μB/f.u.

***

(2)
Here is a geometry-optimized PrNd12Tm2 structure from the Alexandria database. Energies are from GGA-PBE.

Unit cell a=6.8500 b=6.8500 c=25.0853 alpha=90.00 beta=90.00 gamma=116.50
Last column: nearest neighbours and their distance in Å.
Positions (direct):
1 Pr 0.5000 0.0000 0.9980  8 Nd 3.47-3.84, 2 Pr 3.61
2 Pr 0.0000 0.5000 0.0020  8 Nd 3.47-3.84, 2 Pr 3.61
3 Nd 0.5000 0.5000 0.7999  3 Nd 3.13-3.37
4 Nd 0.0000 0.0000 0.7999  3 Nd 3.13-3.37
5 Nd 0.7539 0.7461 0.9244  2 Pr 3.47-3.49, 9 Nd 3.61-3.79
6 Nd 0.2525 0.7525 0.8671  8 Nd 3.37-3.74, 1 Pr 3.74
7 Nd 0.0000 0.0000 0.3248  3 Nd 3.13-3.42
8 Nd 0.2475 0.7475 0.1329  8 Nd 3.37-3.74, 1 Pr 3.74
9 Nd 0.7691 0.2691 0.5859  7 Nd 3.33-3.68
10 Nd 0.5000 0.5000 0.3248  3 Nd 3.13-3.42
11 Nd 0.2461 0.2539 0.9244  2 Pr 3.47-3.49, 9 Nd 3.61-3.79
12 Nd 0.7461 0.7539 0.0756  2 Pr 3.47-3.49, 9 Nd 3.61-3.79
13 Nd 0.2742 0.2258 0.5599  5 Nd 3.06-3.42
14 Nd 0.7309 0.2309 0.4141  7 Nd 3.33-3.68
15 Nd 0.0000 0.0000 0.6752  3 Nd 3.13-3.42
16 Nd 0.2258 0.2742 0.4401  5 Nd 3.06-3.42
17 Nd 0.2539 0.2461 0.0756  2 Pr 3.47-3.49, 9 Nd 3.61-3.79
18 Nd 0.7742 0.7258 0.4401  5 Nd 3.06-3.42
19 Nd 0.7258 0.7742 0.5599  5 Nd 3.06-3.42
20 Nd 0.0000 0.0000 0.2001  3 Nd 3.13-3.37
21 Nd 0.2309 0.7309 0.5859  7 Nd 3.33-3.68
22 Nd 0.5000 0.5000 0.6752  3 Nd 3.13-3.42
23 Nd 0.7475 0.2475 0.8671  8 Nd 3.37-3.74, 1 Pr 3.74
24 Nd 0.5000 0.5000 0.2001  3 Nd 3.13-3.37
25 Nd 0.2691 0.7691 0.4141  7 Nd 3.33-3.68
26 Nd 0.7525 0.2525 0.1329  8 Nd 3.37-3.74, 1 Pr 3.74
27 Tm 0.5000 0.0000 0.2676  2 Tm 3.61, 12 Nd 3.71-4.03
28 Tm 0.0000 0.5000 0.2710  2 Tm 3.61, 10 Nd 3.68-3.90
29 Tm 0.0000 0.5000 0.7324  2 Tm 3.61, 12 Nd 3.71-4.03
30 Tm 0.5000 0.0000 0.7290  2 Tm 3.61, 10 Nd 3.68-3.90

Calculated values
Fermi-level density of states = 43.440 states/eV/cell
energy of formation from the pure elements = 0.1550 eV/atom
volume = 1053 Å³/cell
symmetry = Cmme (67)
total magnetic moment = 0.000 μB/f.u.

***

(3)
Here is a geometry-optimized Pr2Nd5Tm5 structure from the Alexandria database. Energies are from GGA-PBE.

Unit cell a=5.0756 b=8.0694 c=10.8373 alpha=72.89 beta=76.46 gamma=71.67
Last column: nearest neighbours and their distance in Å.
Positions (direct):
1 Pr 0.9176 0.4131 0.7518  7 Tm 3.58-3.62, 5 Nd 3.58-3.65
2 Pr 0.0824 0.5869 0.2482  7 Tm 3.58-3.62, 5 Nd 3.58-3.65
3 Nd 0.8347 0.8320 0.4987  2 Pr 3.58-3.65, 5 Tm 3.59-3.64, 5 Nd 3.62-3.64
4 Nd 0.2482 0.7505 0.7531  6 Tm 3.57-3.64, 4 Nd 3.58-3.64, 2 Pr 3.62
5 Nd 0.7518 0.2495 0.2469  6 Tm 3.57-3.64, 4 Nd 3.58-3.64, 2 Pr 3.62
6 Nd 0.1653 0.1680 0.5013  2 Pr 3.58-3.65, 5 Tm 3.59-3.64, 5 Nd 3.62-3.64
7 Nd 0.0000 0.0000 0.0000  2 Nd 3.58, 2 Pr 3.59, 8 Tm 3.59-3.60
8 Tm 0.5000 0.5000 0.5000  6 Nd 3.59-3.64, 4 Pr 3.62, 2 Tm 3.63
9 Tm 0.3328 0.3335 0.0009  5 Nd 3.57-3.61, 4 Tm 3.60-3.61, 3 Pr 3.60
10 Tm 0.4173 0.9168 0.2487  2 Pr 3.58, 7 Nd 3.59-3.64, 3 Tm 3.61-3.63
11 Tm 0.5827 0.0832 0.7513  2 Pr 3.58, 7 Nd 3.59-3.64, 3 Tm 3.61-3.63
12 Tm 0.6672 0.6665 0.9991  5 Nd 3.57-3.61, 4 Tm 3.60-3.61, 3 Pr 3.60

Calculated values
Fermi-level density of states = 17.323 states/eV/cell
energy of formation from the pure elements = 0.0196 eV/atom
volume = 398 Å³/cell
symmetry = C2/m (12)
total magnetic moment = 0.000 μB/f.u.

***

(4)
Here is a geometry-optimized Pr3Nd6Tm2 structure from the Alexandria database. Energies are from GGA-PBE.

Unit cell a=4.8639 b=4.8639 c=17.2310 alpha=98.11 beta=98.11 gamma=90.00
Last column: nearest neighbours and their distance in Å.
Positions (direct):
1 Pr 0.0000 0.0000 0.0000  8 Tm 3.76
2 Pr 0.7973 0.7973 0.5946  9 Nd 3.45-3.75
3 Pr 0.2027 0.2027 0.4054  9 Nd 3.45-3.75
4 Nd 0.1182 0.6182 0.2365  6 Nd 3.44-3.54, 2 Tm 3.46, 2 Pr 3.75
5 Nd 0.6182 0.1182 0.2365  6 Nd 3.44-3.54, 2 Tm 3.46, 2 Pr 3.75
6 Nd 0.8818 0.3818 0.7635  6 Nd 3.44-3.54, 2 Tm 3.46, 2 Pr 3.75
7 Nd 0.3818 0.8818 0.7635  6 Nd 3.44-3.54, 2 Tm 3.46, 2 Pr 3.75
8 Nd 0.6944 0.6944 0.3888  5 Pr 3.45-3.47, 4 Nd 3.54
9 Nd 0.3056 0.3056 0.6112  5 Pr 3.45-3.47, 4 Nd 3.54
10 Tm 0.4547 0.4547 0.9094  1 Tm 3.06
11 Tm 0.5453 0.5453 0.0906  1 Tm 3.06

Calculated values
Fermi-level density of states = 15.703 states/eV/cell
distance to the lowest polymorph of the same formula = 0.254 eV/atom
energy of formation from the pure elements = 0.2698 eV/atom
volume = 399 Å³/cell
symmetry = I4/mmm (139)
total magnetic moment = 0.000 μB/f.u.

***

(5)
Here is a geometry-optimized Pr2Nd2Tm5 structure from the Alexandria database. Energies are from GGA-PBE.

Unit cell a=3.5000 b=8.3281 c=12.5297 alpha=121.22 beta=98.03 gamma=90.00
Last column: nearest neighbours and their distance in Å.
Positions (direct):
1 Pr 0.8136 0.7703 0.6272  4 Tm 3.50-3.60, 2 Pr 3.50
2 Pr 0.1864 0.2297 0.3728  4 Tm 3.50-3.60, 2 Pr 3.50
3 Nd 0.5454 0.7371 0.0908  3 Tm 3.18-3.42, 3 Nd 3.37-3.50
4 Nd 0.4546 0.2629 0.9092  3 Tm 3.18-3.42, 3 Nd 3.37-3.50
5 Tm 0.6901 0.8576 0.3803  1 Nd 3.18, 6 Tm 3.18-3.50, 1 Pr 3.50
6 Tm 0.3099 0.1424 0.6197  1 Nd 3.18, 6 Tm 3.18-3.50, 1 Pr 3.50
7 Tm 0.8988 0.5361 0.7976  5 Tm 3.33-3.50, 1 Pr 3.55, 4 Nd 3.57-3.67
8 Tm 0.1012 0.4639 0.2024  5 Tm 3.33-3.50, 1 Pr 3.55, 4 Nd 3.57-3.67
9 Tm 0.0000 0.0000 0.0000  4 Tm 3.33-3.50, 4 Nd 3.42

Calculated values
Fermi-level density of states = 12.973 states/eV/cell
distance to the lowest polymorph of the same formula = 0.035 eV/atom
energy of formation from the pure elements = 0.2371 eV/atom
volume = 308 Å³/cell
symmetry = C2/m (12)
total magnetic moment = 0.000 μB/f.u.

***

(6)
Here is a geometry-optimized Pr2Nd5Tm structure from the Alexandria database. Energies are from GGA-PBE.

Unit cell a=5.1722 b=7.3215 c=14.6867 alpha=90.00 beta=90.00 gamma=90.00
Last column: nearest neighbours and their distance in Å.
Positions (direct):
1 Pr 0.5000 0.2486 0.6238  10 Nd 3.64-3.70, 2 Tm 3.65
2 Pr 0.5000 0.7514 0.3762  10 Nd 3.64-3.70, 2 Tm 3.65
3 Pr 0.5000 0.2514 0.1238  10 Nd 3.64-3.70, 2 Tm 3.65
4 Pr 0.5000 0.7486 0.8762  10 Nd 3.64-3.70, 2 Tm 3.65
5 Nd 0.0000 0.0000 0.0000  6 Nd 3.65-3.70, 4 Pr 3.66, 2 Tm 3.66
6 Nd 0.0000 0.5000 0.5000  6 Nd 3.65-3.70, 4 Pr 3.66, 2 Tm 3.66
7 Nd 0.0000 0.4991 0.7516  1 Tm 3.65, 7 Nd 3.65-3.70, 4 Pr 3.66-3.69
8 Nd 0.0000 0.5009 0.2484  1 Tm 3.65, 7 Nd 3.65-3.70, 4 Pr 3.66-3.69
9 Nd 0.0000 0.0009 0.2516  1 Tm 3.65, 7 Nd 3.65-3.70, 4 Pr 3.66-3.69
10 Nd 0.0000 0.9991 0.7484  1 Tm 3.65, 7 Nd 3.65-3.70, 4 Pr 3.66-3.69
11 Nd 0.5000 0.2502 0.8760  4 Pr 3.64-3.70, 6 Nd 3.65-3.69, 2 Tm 3.65
12 Nd 0.5000 0.7498 0.1240  4 Pr 3.64-3.70, 6 Nd 3.65-3.69, 2 Tm 3.65
13 Nd 0.5000 0.2498 0.3760  4 Pr 3.64-3.70, 6 Nd 3.65-3.69, 2 Tm 3.65
14 Nd 0.5000 0.7502 0.6240  4 Pr 3.64-3.70, 6 Nd 3.65-3.69, 2 Tm 3.65
15 Tm 0.0000 0.0000 0.5000  4 Pr 3.65, 8 Nd 3.65-3.66
16 Tm 0.0000 0.5000 0.0000  4 Pr 3.65, 8 Nd 3.65-3.66

Calculated values
Fermi-level density of states = 23.016 states/eV/cell
distance to the lowest polymorph of the same formula = 0.000 eV/atom
energy of formation from the pure elements = 0.0139 eV/atom
volume = 556 Å³/cell
symmetry = Pbam (55)
total magnetic moment = 0.000 μB/f.u.

***

(7)
Here is a geometry-optimized PrNd12Tm5 structure from the Alexandria database. Energies are from GGA-PBE.

Unit cell a=15.3541 b=10.8843 c=5.1427 alpha=90.00 beta=90.00 gamma=45.14
Last column: nearest neighbours and their distance in Å.
Positions (direct):
1 Pr 0.0000 0.0000 0.0000  8 Nd 3.63, 4 Tm 3.65
2 Nd 0.8330 0.0000 0.4999  2 Pr 3.63, 8 Nd 3.65-3.66, 2 Tm 3.65
3 Nd 0.1670 0.0000 0.5001  2 Pr 3.63, 8 Nd 3.65-3.66, 2 Tm 3.65
4 Nd 0.6633 0.0000 0.0000  4 Tm 3.59, 8 Nd 3.63-3.69
5 Nd 0.3367 0.0000 0.0000  4 Tm 3.59, 8 Nd 3.63-3.69
6 Nd 0.3331 0.6648 0.0000  3 Tm 3.60-3.62, 1 Pr 3.63, 8 Nd 3.63-3.69
7 Nd 0.0020 0.6648 0.0000  3 Tm 3.60-3.62, 1 Pr 3.63, 8 Nd 3.63-3.69
8 Nd 0.9980 0.3352 0.0000  3 Tm 3.60-3.62, 1 Pr 3.63, 8 Nd 3.63-3.69
9 Nd 0.6669 0.3352 0.0000  3 Tm 3.60-3.62, 1 Pr 3.63, 8 Nd 3.63-3.69
10 Nd 0.4977 0.3326 0.5000  4 Tm 3.59-3.60, 8 Nd 3.63-3.69
11 Nd 0.8303 0.6674 0.5000  4 Tm 3.59-3.60, 8 Nd 3.63-3.69
12 Nd 0.1697 0.3326 0.5000  4 Tm 3.59-3.60, 8 Nd 3.63-3.69
13 Nd 0.5023 0.6674 0.5000  4 Tm 3.59-3.60, 8 Nd 3.63-3.69
14 Tm 0.5000 0.0000 0.5000  8 Nd 3.59-3.60, 4 Tm 3.64
15 Tm 0.1682 0.6636 0.5000  8 Nd 3.59-3.65, 2 Tm 3.62, 2 Pr 3.65
16 Tm 0.8318 0.3364 0.5000  8 Nd 3.59-3.65, 2 Tm 3.62, 2 Pr 3.65
17 Tm 0.6669 0.6662 0.0000  8 Nd 3.59-3.60, 4 Tm 3.62-3.64
18 Tm 0.3331 0.3338 0.0000  8 Nd 3.59-3.60, 4 Tm 3.62-3.64

Calculated values
Fermi-level density of states = 27.971 states/eV/cell
energy of formation from the pure elements = 0.0226 eV/atom
volume = 609 Å³/cell
symmetry = Cmmm (65)
total magnetic moment = 0.000 μB/f.u.

***

(8)
Here is a geometry-optimized Pr2Nd12Tm5 structure from the Alexandria database. Energies are from GGA-PBE.

Unit cell a=11.7333 b=8.7844 c=9.4706 alpha=70.74 beta=90.00 gamma=131.90
Last column: nearest neighbours and their distance in Å.
Positions (direct):
1 Pr 0.7256 0.0000 0.0000  10 Nd 3.56-3.80, 2 Tm 3.64
2 Pr 0.2744 0.0000 0.0000  10 Nd 3.56-3.80, 2 Tm 3.64
3 Nd 0.1169 0.2337 0.0597  4 Tm 3.45-3.76, 4 Nd 3.49-3.70, 2 Pr 3.71
4 Nd 0.0492 0.6106 0.8007  5 Nd 3.31-3.59, 1 Tm 3.32, 1 Pr 3.59
5 Nd 0.5614 0.6106 0.8007  5 Nd 3.31-3.59, 1 Tm 3.32, 1 Pr 3.59
6 Nd 0.1726 0.7833 0.4177  4 Nd 3.31-3.59, 3 Tm 3.52-3.67, 1 Pr 3.56
7 Nd 0.6106 0.7833 0.4177  4 Nd 3.31-3.59, 3 Tm 3.52-3.67, 1 Pr 3.56
8 Nd 0.4217 0.8433 0.7830  5 Nd 3.34-3.67, 2 Tm 3.44-3.62
9 Nd 0.5783 0.1567 0.2170  5 Nd 3.34-3.67, 2 Tm 3.44-3.62
10 Nd 0.8274 0.2167 0.5823  4 Nd 3.31-3.59, 3 Tm 3.52-3.67, 1 Pr 3.56
11 Nd 0.3894 0.2167 0.5823  4 Nd 3.31-3.59, 3 Tm 3.52-3.67, 1 Pr 3.56
12 Nd 0.9508 0.3894 0.1993  5 Nd 3.31-3.59, 1 Tm 3.32, 1 Pr 3.59
13 Nd 0.4386 0.3894 0.1993  5 Nd 3.31-3.59, 1 Tm 3.32, 1 Pr 3.59
14 Nd 0.8831 0.7663 0.9403  4 Tm 3.45-3.76, 4 Nd 3.49-3.70, 2 Pr 3.71
15 Tm 0.1958 0.3916 0.6609  9 Nd 3.45-3.81, 2 Tm 3.51-3.62
16 Tm 0.3092 0.6184 0.2361  6 Nd 3.32-3.58, 2 Tm 3.62-3.69, 2 Pr 3.64
17 Tm 0.0000 0.0000 0.5000  4 Tm 3.51-3.69, 6 Nd 3.75-3.80
18 Tm 0.6908 0.3816 0.7639  6 Nd 3.32-3.58, 2 Tm 3.62-3.69, 2 Pr 3.64
19 Tm 0.8042 0.6084 0.3391  9 Nd 3.45-3.81, 2 Tm 3.51-3.62

Calculated values
Fermi-level density of states = 26.761 states/eV/cell
distance to the lowest polymorph of the same formula = 0.004 eV/atom
energy of formation from the pure elements = 0.1119 eV/atom
volume = 651 Å³/cell
symmetry = C2/m (12)
total magnetic moment = 0.000 μB/f.u.